#w
Below is a relaxed Ba2AcAl6 crystal, with properties calculated at the PBE-GGA level.

Calculated values
- DOS(E_F): 7.09 states/eV/cell
- Space-group type: No. 191

Lattice parameters (Å, degrees): 4.986 7.923 9.365 115.03 122.17 90.00
Element x y z (fractional)
Ba (0.667, 0.333, 0.667)
Ba (0.333, 0.667, 0.333)
Ac (0.000, 0.000, 0.000)
Al (0.830, 0.000, 0.330)
Al (0.170, 0.000, 0.670)
Al (0.170, 0.670, 0.670)
Al (0.500, 0.330, 0.000)
Al (0.500, 0.670, 0.000)
Al (0.830, 0.330, 0.330)

***

#x
Below is a relaxed Ba2AcAl6 crystal, with properties calculated at the PBE-GGA level.

Calculated values
- DOS(E_F): 6.12 states/eV/cell
- Space-group type: No. 71

Lattice parameters (Å, degrees): 3.619 8.816 8.816 75.35 78.16 78.16
Element x y z (fractional)
Ba (0.366, 0.134, 0.134)
Ba (0.634, 0.866, 0.866)
Ac (0.500, 0.500, 0.500)
Al (0.181, 0.522, 0.116)
Al (0.819, 0.478, 0.884)
Al (0.819, 0.884, 0.478)
Al (0.000, 0.218, 0.782)
Al (0.000, 0.782, 0.218)
Al (0.181, 0.116, 0.522)

***

Preferred: #w; penalty for the next structure: 257 meV/atom.

***

#w
Below is a relaxed BaAcAl2 crystal, with properties calculated at the PBE-GGA level.

Calculated values
- DOS(E_F): 3.19 states/eV/cell
- Space-group type: No. 123

Lattice parameters (Å, degrees): 4.071 4.071 8.080 90.00 90.00 90.00
Element x y z (fractional)
Ac (0.500, 0.500, 0.000)
Ba (0.500, 0.500, 0.500)
Al (0.000, 0.000, 0.780)
Al (0.000, 0.000, 0.220)

***

#x
Below is a relaxed BaAcAl2 crystal, with properties calculated at the PBE-GGA level.

Calculated values
- DOS(E_F): 9.48 states/eV/cell
- Space-group type: No. 63

Lattice parameters (Å, degrees): 4.487 9.116 7.756 90.00 90.00 104.21
Element x y z (fractional)
Ba (0.393, 0.786, 0.750)
Ba (0.607, 0.214, 0.250)
Ac (0.876, 0.752, 0.250)
Ac (0.124, 0.248, 0.750)
Al (0.251, 0.501, 0.417)
Al (0.749, 0.499, 0.583)
Al (0.251, 0.501, 0.083)
Al (0.749, 0.499, 0.917)

***

Preferred: #x; penalty for the next structure: 44 meV/atom.

***

#w
Below is a relaxed BaAcAl2 crystal, with properties calculated at the PBE-GGA level.

Calculated values
- DOS(E_F): 5.43 states/eV/cell
- Space-group type: No. 225

Lattice parameters (Å, degrees): 5.714 5.714 5.714 60.00 60.00 60.00
Element x y z (fractional)
Ac (0.500, 0.500, 0.500)
Ba (0.000, 0.000, 0.000)
Al (0.250, 0.250, 0.250)
Al (0.750, 0.750, 0.750)

***

#x
Below is a relaxed BaAcAl2 crystal, with properties calculated at the PBE-GGA level.

Calculated values
- DOS(E_F): 5.04 states/eV/cell
- Space-group type: No. 166

Lattice parameters (Å, degrees): 4.066 4.066 10.425 78.75 78.75 60.00
Element x y z (fractional)
Ac (0.000, 0.000, 0.000)
Ba (0.500, 0.500, 0.500)
Al (0.747, 0.747, 0.760)
Al (0.253, 0.253, 0.240)

***

Preferred: #w; penalty for the next structure: 209 meV/atom.

***

#w
Below is a relaxed AcAlBi2 crystal, with properties calculated at the PBE-GGA level.

Calculated values
- DOS(E_F): 1.99 states/eV/cell
- Space-group type: No. 123

Lattice parameters (Å, degrees): 4.342 4.342 6.714 90.00 90.00 90.00
Element x y z (fractional)
Ac (0.500, 0.500, 0.500)
Bi (0.000, 0.000, 0.768)
Bi (0.000, 0.000, 0.232)
Al (0.500, 0.500, 0.000)

***

#x
Below is a relaxed AcAlBi2 crystal, with properties calculated at the PBE-GGA level.

Calculated values
- DOS(E_F): 3.82 states/eV/cell
- Space-group type: No. 166

Lattice parameters (Å, degrees): 3.866 3.866 10.899 79.78 79.78 60.00
Element x y z (fractional)
Ac (0.000, 0.000, 0.000)
Bi (0.107, 0.107, 0.679)
Bi (0.893, 0.893, 0.321)
Al (0.500, 0.500, 0.500)

***

#y
Below is a relaxed AcAlBi2 crystal, with properties calculated at the PBE-GGA level.

Calculated values
- DOS(E_F): 1.80 states/eV/cell
- Space-group type: No. 123

Lattice parameters (Å, degrees): 4.858 5.019 5.019 90.00 90.00 90.00
Element x y z (fractional)
Ac (0.500, 0.000, 0.000)
Bi (0.000, 0.000, 0.500)
Bi (0.000, 0.500, 0.000)
Al (0.500, 0.500, 0.500)

***

#z
Below is a relaxed AcAlBi2 crystal, with properties calculated at the PBE-GGA level.

Calculated values
- DOS(E_F): 3.83 states/eV/cell
- Space-group type: No. 225

Lattice parameters (Å, degrees): 5.663 5.663 5.663 60.00 60.00 60.00
Element x y z (fractional)
Ac (0.000, 0.000, 0.000)
Bi (0.250, 0.250, 0.250)
Bi (0.750, 0.750, 0.750)
Al (0.500, 0.500, 0.500)

***

Preferred: #y; penalty for the next structure: 90 meV/atom.

***

#w
Below is a relaxed Ac2AlBi crystal, with properties calculated at the PBE-GGA level.

Calculated values
- DOS(E_F): 2.63 states/eV/cell
- Space-group type: No. 123

Lattice parameters (Å, degrees): 4.228 4.228 7.610 90.00 90.00 90.00
Element x y z (fractional)
Ac (0.000, 0.000, 0.752)
Ac (0.000, 0.000, 0.248)
Bi (0.500, 0.500, 0.500)
Al (0.500, 0.500, 0.000)

***

#x
Below is a relaxed Ac2AlBi crystal, with properties calculated at the PBE-GGA level.

Calculated values
- DOS(E_F): 4.21 states/eV/cell
- Space-group type: No. 225

Lattice parameters (Å, degrees): 5.797 5.797 5.797 60.00 60.00 60.00
Element x y z (fractional)
Ac (0.250, 0.250, 0.250)
Ac (0.750, 0.750, 0.750)
Bi (0.000, 0.000, 0.000)
Al (0.500, 0.500, 0.500)

***

Preferred: #w; penalty for the next structure: 91 meV/atom.

***

#w
Below is a relaxed AcAlBr crystal, with properties calculated at the PBE-GGA level.

Calculated values
- DOS(E_F): 3.62 states/eV/cell
- Space-group type: No. 129

Lattice parameters (Å, degrees): 3.778 3.778 13.252 90.00 90.00 90.00
Element x y z (fractional)
Al (0.000, 0.500, 0.543)
Al (0.500, 0.000, 0.457)
Ac (0.000, 0.500, 0.284)
Ac (0.500, 0.000, 0.716)
Br (0.500, 0.000, 0.141)
Br (0.000, 0.500, 0.859)

***

#x
Below is a relaxed AcAlBr crystal, with properties calculated at the PBE-GGA level.

Calculated values
- DOS(E_F): 2.85 states/eV/cell
- Space-group type: No. 12

Lattice parameters (Å, degrees): 4.493 4.493 12.301 88.48 88.48 60.00
Element x y z (fractional)
Ac (0.991, 0.991, 0.687)
Ac (0.009, 0.009, 0.313)
Al (0.666, 0.666, 0.514)
Al (0.334, 0.334, 0.486)
Br (0.683, 0.683, 0.159)
Br (0.317, 0.317, 0.841)

***

Preferred: #x; penalty for the next structure: 255 meV/atom.

***

#w
Below is a relaxed Ca2AcAl crystal, with properties calculated at the PBE-GGA level.

Calculated values
- DOS(E_F): 5.41 states/eV/cell
- Space-group type: No. 225

Lattice parameters (Å, degrees): 5.739 5.739 5.739 60.00 60.00 60.00
Element x y z (fractional)
Ac (0.000, 0.000, 0.000)
Ca (0.250, 0.250, 0.250)
Ca (0.750, 0.750, 0.750)
Al (0.500, 0.500, 0.500)

***

#x
Below is a relaxed Ca2AcAl crystal, with properties calculated at the PBE-GGA level.

Calculated values
- DOS(E_F): 4.73 states/eV/cell
- Space-group type: No. 123

Lattice parameters (Å, degrees): 3.722 3.722 10.008 90.00 90.00 90.00
Element x y z (fractional)
Ac (0.500, 0.500, 0.500)
Ca (0.000, 0.000, 0.809)
Ca (0.000, 0.000, 0.191)
Al (0.500, 0.500, 0.000)

***

#y
Below is a relaxed Ca2AcAl crystal, with properties calculated at the PBE-GGA level.

Calculated values
- DOS(E_F): 2.43 states/eV/cell
- Space-group type: No. 123

Lattice parameters (Å, degrees): 5.456 5.004 5.004 90.00 90.00 90.00
Element x y z (fractional)
Ac (0.500, 0.500, 0.500)
Ca (0.000, 0.000, 0.500)
Ca (0.000, 0.500, 0.000)
Al (0.500, 0.000, 0.000)

***

Preferred: #x; penalty for the next structure: 6 meV/atom.

***

#w
Below is a relaxed CaAcAl crystal, with properties calculated at the PBE-GGA level.

Calculated values
- DOS(E_F): 2.25 states/eV/cell
- Space-group type: No. 194

Lattice parameters (Å, degrees): 5.647 5.647 7.110 90.00 90.00 119.98
Element x y z (fractional)
Ca (0.000, 0.500, 0.000)
Ca (0.000, 0.500, 0.500)
Ac (0.667, 0.833, 0.750)
Ac (0.333, 0.167, 0.250)
Al (0.333, 0.167, 0.750)
Al (0.667, 0.833, 0.250)

***

#x
Below is a relaxed CaAcAl crystal, with properties calculated at the PBE-GGA level.

Calculated values
- DOS(E_F): 3.71 states/eV/cell
- Space-group type: No. 107

Lattice parameters (Å, degrees): 3.827 3.827 7.471 104.84 104.84 90.00
Element x y z (fractional)
Ac (0.027, 0.027, 0.055)
Ca (0.301, 0.301, 0.602)
Al (0.671, 0.671, 0.343)

***

#y
Below is a relaxed CaAcAl crystal, with properties calculated at the PBE-GGA level.

Calculated values
- DOS(E_F): 2.54 states/eV/cell
- Space-group type: No. 216

Lattice parameters (Å, degrees): 5.434 5.434 5.434 60.00 60.00 60.00
Element x y z (fractional)
Ac (0.000, 0.000, 0.000)
Ca (0.500, 0.500, 0.500)
Al (0.250, 0.250, 0.250)

***

Preferred: #w; penalty for the next structure: 85 meV/atom.

***

#w
Below is a relaxed CaAcAlCu crystal, with properties calculated at the PBE-GGA level.

Calculated values
- DOS(E_F): 3.04 states/eV/cell
- Space-group type: No. 216

Lattice parameters (Å, degrees): 5.364 5.364 5.364 60.00 60.00 60.00
Element x y z (fractional)
Ac (0.000, 0.000, 0.000)
Ca (0.500, 0.500, 0.500)
Cu (0.250, 0.250, 0.250)
Al (0.750, 0.750, 0.750)

***

#x
Below is a relaxed CaAcAlCu crystal, with properties calculated at the PBE-GGA level.

Calculated values
- DOS(E_F): 4.60 states/eV/cell
- Space-group type: No. 8

Lattice parameters (Å, degrees): 4.288 4.288 8.123 89.94 105.37 119.99
Element x y z (fractional)
Ca (0.350, 0.039, 0.389)
Ac (0.988, 0.859, 0.846)
Al (0.843, 0.286, 0.129)
Cu (0.512, 0.621, 0.132)

***

Preferred: #x; penalty for the next structure: 18 meV/atom.

***

#w
Below is a relaxed AcAlCd crystal, with properties calculated at the PBE-GGA level.

Calculated values
- DOS(E_F): 1.88 states/eV/cell
- Space-group type: No. 107

Lattice parameters (Å, degrees): 3.696 3.696 6.630 106.18 106.18 90.00
Element x y z (fractional)
Ac (0.004, 0.004, 0.008)
Al (0.690, 0.690, 0.379)
Cd (0.306, 0.306, 0.613)

***

#x
Below is a relaxed AcAlCd crystal, with properties calculated at the PBE-GGA level.

Calculated values
- DOS(E_F): 4.57 states/eV/cell
- Space-group type: No. 71

Lattice parameters (Å, degrees): 4.876 6.437 6.437 82.21 67.75 67.75
Element x y z (fractional)
Ac (0.743, 0.757, 0.757)
Ac (0.257, 0.243, 0.243)
Al (0.500, 0.656, 0.344)
Al (0.500, 0.344, 0.656)
Cd (0.000, 0.823, 0.177)
Cd (0.000, 0.177, 0.823)

***

Preferred: #x; penalty for the next structure: 210 meV/atom.

***

#w
Below is a relaxed AcAlCd crystal, with properties calculated at the PBE-GGA level.

Calculated values
- DOS(E_F): 1.91 states/eV/cell
- Space-group type: No. 187

Lattice parameters (Å, degrees): 4.083 4.925 4.925 120.00 90.00 90.00
Element x y z (fractional)
Ac (0.667, 0.667, 0.333)
Al (0.167, 0.000, 0.000)
Cd (0.167, 0.333, 0.667)

***

#x
Below is a relaxed AcAlCd crystal, with properties calculated at the PBE-GGA level.

Calculated values
- DOS(E_F): 0.79 states/eV/cell
- Space-group type: No. 216

Lattice parameters (Å, degrees): 5.103 5.103 5.103 60.00 60.00 60.00
Element x y z (fractional)
Ac (0.500, 0.500, 0.500)
Al (0.250, 0.250, 0.250)
Cd (0.000, 0.000, 0.000)

***

Preferred: #w; penalty for the next structure: 161 meV/atom.

***

#w
Below is a relaxed Ac3AlCd2 crystal, with properties calculated at the PBE-GGA level.

Calculated values
- DOS(E_F): 14.71 states/eV/cell
- Space-group type: No. 164

Lattice parameters (Å, degrees): 5.706 5.706 14.013 90.00 90.00 120.00
Element x y z (fractional)
Ac (0.333, 0.667, 0.417)
Ac (0.667, 0.333, 0.088)
Ac (0.000, 0.000, 0.745)
Ac (0.000, 0.000, 0.255)
Ac (0.333, 0.667, 0.912)
Ac (0.667, 0.333, 0.583)
Al (0.333, 0.667, 0.664)
Al (0.667, 0.333, 0.336)
Cd (0.000, 0.000, 0.500)
Cd (0.333, 0.667, 0.165)
Cd (0.667, 0.333, 0.835)
Cd (0.000, 0.000, 0.000)

***

#x
Below is a relaxed Ac3AlCd2 crystal, with properties calculated at the PBE-GGA level.

Calculated values
- DOS(E_F): 5.79 states/eV/cell
- Space-group type: No. 123

Lattice parameters (Å, degrees): 4.012 4.012 12.240 90.00 90.00 90.00
Element x y z (fractional)
Ac (0.000, 0.000, 0.000)
Ac (0.000, 0.000, 0.657)
Ac (0.000, 0.000, 0.343)
Al (0.500, 0.500, 0.500)
Cd (0.500, 0.500, 0.830)
Cd (0.500, 0.500, 0.170)

***

Preferred: #x; penalty for the next structure: 8 meV/atom.